1.
Computed, not measured: a relaxed structure of BeCoCu2 at the PBE level of DFT.

Lattice parameters (Å, degrees): 4.739 4.739 4.000 64.95 64.95 31.50
Each line ends with the local moment (μB).
Positions (direct):
Be 0.250 0.250 0.250  -0.03
Co 0.750 0.750 0.750  1.06
Cu 0.977 0.977 0.023  0.00
Cu 0.523 0.523 0.477  0.00

Calculated values
V	42	Å³/cell
DOS(E_F)	3.00	states/eV per cell
crystal system	monoclinic
symmetry	C2/m (12)
E_tot	-4.721	eV/atom

2.
Computed, not measured: a relaxed structure of Nd3HoEr6 at the PBE level of DFT.

Lattice parameters (Å, degrees): 6.506 9.586 6.516 110.23 119.74 90.43
Positions (direct):
Nd 0.011 0.310 0.867
Nd 0.989 0.690 0.133
Nd 0.000 0.000 0.000
Ho 0.500 0.500 0.000
Er 0.441 0.315 0.449
Er 0.135 0.686 0.697
Er 0.559 0.685 0.551
Er 0.865 0.314 0.303
Er 0.356 0.051 0.702
Er 0.644 0.949 0.298

Calculated values
V	323	Å³/cell
DOS(E_F)	11.60	states/eV per cell
crystal system	triclinic
excess energy over the best structure of this formula in the dataset	0.11	eV/f.u.
symmetry	P-1 (2)